Entry 1:
A plane-wave DFT calculation with PBEsol was carried out for a relaxed structure of RbLi3Al.

The structure belongs to space group Pm-3m (No. 221); the cell edges are 5.3549, 5.3549 and 5.3549 Å and the angles 90.00°, 90.00° and 90.00°. Symmetry generates all atoms from Rb at (0.0000, 0.0000, 0.0000), Li at (0.0000, 0.5000, 0.5000) and Al at (0.5000, 0.5000, 0.5000).

Entry 2:
A plane-wave DFT calculation with PBEsol was carried out for a relaxed structure of Tb2Ni2Sn.

The structure belongs to space group Immm (No. 71); the cell edges are 4.2014, 5.5833 and 8.2102 Å and the angles 90.00°, 90.00° and 90.00°. Symmetry generates all atoms from Tb at (0.0000, 0.0000, 0.2025), Ni at (0.0000, 0.2886, 0.5000) and Sn at (0.0000, 0.5000, 0.0000).

Entry 3:
A plane-wave DFT calculation with PBEsol was carried out for a relaxed structure of Zr3TcSn.

The structure belongs to space group Pm-3m (No. 221); the cell edges are 5.1454, 5.1454 and 5.1454 Å and the angles 90.00°, 90.00° and 90.00°. Symmetry generates all atoms from Zr at (0.0000, 0.0000, 0.5000), Tc at (0.5000, 0.5000, 0.5000) and Sn at (0.0000, 0.0000, 0.0000).

no.,energy relative to the elements (eV per atom)
1,0.179
2,-0.609
3,1.528